Below is a geometry-optimized Ac2PrDy structure, with properties calculated at the PBE level.

Lattice parameters (Å, degrees): 5.435 5.435 5.263 90.00 90.00 90.00
Atoms (fractional coordinates):
Ac1 0.000 0.500 0.000
Ac2 0.500 0.000 0.000
Pr1 0.000 0.000 0.500
Dy1 0.500 0.500 0.500

Computed properties:
Formation enthalpy at 0 K (eV per atom): 0.033
Calculated total energy (eV/atom): -4.37
E above lowest polymorph (eV/atom): 0.000



Below is a geometry-optimized Ac2Pr7Dy3 structure, with properties calculated at the PBE level.

Lattice parameters (Å, degrees): 6.584 3.674 18.240 90.00 96.04 90.00
Atoms (fractional coordinates):
Ac1 0.062 0.000 0.172
Ac2 0.938 0.000 0.828
Pr1 0.000 0.500 0.500
Pr2 0.231 0.000 0.666
Pr3 0.261 0.000 0.997
Pr4 0.281 0.500 0.340
Pr5 0.719 0.500 0.660
Pr6 0.739 0.000 0.003
Pr7 0.769 0.000 0.334
Dy1 0.450 0.500 0.840
Dy2 0.500 0.000 0.500
Dy3 0.550 0.500 0.160

Computed properties:
Formation enthalpy at 0 K (eV per atom): 0.083
Calculated total energy (eV/atom): -4.54



Below is a geometry-optimized AcPr4Dy3 structure, with properties calculated at the PBE level.

Lattice parameters (Å, degrees): 21.402 5.221 5.216 90.00 104.06 90.00
Atoms (fractional coordinates):
Ac1 0.000 0.000 0.000
Ac2 0.500 0.500 0.000
Pr1 0.129 0.000 0.629
Pr2 0.129 0.500 0.129
Pr3 0.371 0.000 0.871
Pr4 0.371 0.500 0.371
Pr5 0.629 0.000 0.129
Pr6 0.629 0.500 0.629
Pr7 0.871 0.000 0.371
Pr8 0.871 0.500 0.871
Dy1 0.000 0.500 0.500
Dy2 0.249 0.000 0.249
Dy3 0.251 0.500 0.751
Dy4 0.500 0.000 0.500
Dy5 0.749 0.500 0.249
Dy6 0.751 0.000 0.751

Computed properties:
Formation enthalpy at 0 K (eV per atom): 0.028
Calculated total energy (eV/atom): -4.60



Below is a geometry-optimized Ac6Pr5Dy2 structure, with properties calculated at the PBE level.

Lattice parameters (Å, degrees): 11.449 24.158 3.775 90.00 90.00 90.00
Atoms (fractional coordinates):
Ac1 0.019 0.113 0.000
Ac2 0.146 0.384 0.000
Ac3 0.166 0.635 0.500
Ac4 0.334 0.135 0.500
Ac5 0.354 0.884 0.000
Ac6 0.481 0.613 0.000
Ac7 0.519 0.387 0.000
Ac8 0.646 0.116 0.000
Ac9 0.666 0.865 0.500
Ac10 0.834 0.365 0.500
Ac11 0.854 0.616 0.000
Ac12 0.981 0.887 0.000
Pr1 0.000 0.500 0.500
Pr2 0.085 0.249 0.500
Pr3 0.165 0.997 0.500
Pr4 0.335 0.497 0.500
Pr5 0.415 0.749 0.500
Pr6 0.500 0.000 0.500
Pr7 0.585 0.251 0.500
Pr8 0.665 0.503 0.500
Pr9 0.835 0.003 0.500
Pr10 0.915 0.751 0.500
Dy1 0.165 0.767 0.000
Dy2 0.335 0.267 0.000
Dy3 0.665 0.733 0.000
Dy4 0.835 0.233 0.000

Computed properties:
Formation enthalpy at 0 K (eV per atom): 0.137
Calculated total energy (eV/atom): -4.31



Below is a geometry-optimized Ac5Pr2Dy2 structure, with properties calculated at the PBE level.

Lattice parameters (Å, degrees): 6.587 6.653 8.607 75.00 82.49 80.37
Atoms (fractional coordinates):
Ac1 0.000 0.000 0.000
Ac2 0.120 0.554 0.774
Ac3 0.226 0.118 0.551
Ac4 0.774 0.882 0.449
Ac5 0.880 0.446 0.226
Pr1 0.444 0.222 0.108
Pr2 0.556 0.778 0.892
Dy1 0.337 0.667 0.329
Dy2 0.663 0.333 0.671

Computed properties:
Formation enthalpy at 0 K (eV per atom): 0.046
Calculated total energy (eV/atom): -4.32



Below is a geometry-optimized Ac4Pr5Dy2 structure, with properties calculated at the PBE level.

Lattice parameters (Å, degrees): 11.978 11.978 10.264 106.77 106.77 18.04
Atoms (fractional coordinates):
Ac1 0.045 0.045 0.193
Ac2 0.391 0.391 0.098
Ac3 0.609 0.609 0.902
Ac4 0.955 0.955 0.807
Pr1 0.135 0.135 0.576
Pr2 0.212 0.212 0.347
Pr3 0.500 0.500 0.500
Pr4 0.788 0.788 0.653
Pr5 0.865 0.865 0.424
Dy1 0.236 0.236 0.866
Dy2 0.764 0.764 0.134

Computed properties:
Formation enthalpy at 0 K (eV per atom): 0.173
Calculated total energy (eV/atom): -4.33



Below is a geometry-optimized Ac4Pr2Dy3 structure, with properties calculated at the PBE level.

Lattice parameters (Å, degrees): 6.489 6.489 11.291 105.79 105.79 49.32
Atoms (fractional coordinates):
Ac1 0.006 0.006 0.335
Ac2 0.334 0.334 0.112
Ac3 0.666 0.666 0.888
Ac4 0.994 0.994 0.665
Pr1 0.329 0.329 0.772
Pr2 0.671 0.671 0.228
Dy1 0.000 0.000 0.000
Dy2 0.336 0.336 0.450
Dy3 0.664 0.664 0.550

Computed properties:
Formation enthalpy at 0 K (eV per atom): 0.048
Calculated total energy (eV/atom): -4.37



Below is a geometry-optimized Ac2PrDy2 structure, with properties calculated at the PBE level.

Lattice parameters (Å, degrees): 9.552 9.552 6.540 106.28 106.28 41.64
Atoms (fractional coordinates):
Ac1 0.044 0.341 0.194
Ac2 0.341 0.044 0.694
Ac3 0.659 0.956 0.306
Ac4 0.956 0.659 0.806
Pr1 0.080 0.920 0.750
Pr2 0.920 0.080 0.250
Dy1 0.297 0.529 0.340
Dy2 0.471 0.703 0.160
Dy3 0.529 0.297 0.840
Dy4 0.703 0.471 0.660

Computed properties:
Formation enthalpy at 0 K (eV per atom): 0.086
Calculated total energy (eV/atom): -4.35